The following is a DFT calculation (PBE) of an optimized crystal structure of Tb5In2Bi2.

a b c (Å): 8.946 8.946 8.238
angles (deg): 90.00 90.00 54.86
Fractional positions:
Tb1 0.000 0.000 0.000
Tb2 0.036 0.696 0.668
Tb3 0.196 0.536 0.168
Tb4 0.304 0.964 0.668
Tb5 0.464 0.804 0.168
Tb6 0.500 0.500 0.500
Tb7 0.536 0.196 0.832
Tb8 0.696 0.036 0.332
Tb9 0.804 0.464 0.832
Tb10 0.964 0.304 0.332
In1 0.129 0.871 0.372
In2 0.371 0.629 0.872
In3 0.629 0.371 0.128
In4 0.871 0.129 0.628
Bi1 0.206 0.206 0.000
Bi2 0.294 0.294 0.500
Bi3 0.706 0.706 0.500
Bi4 0.794 0.794 0.000

Computed properties:
Calculated volume ... 29.95 Å³ per atom
SG ... Cmce
Energy of formation from the pure elements ... -0.64 eV/atom
Density of states at the Fermi level ... 0.738 states/eV per atom